Record 1
# PBE Li5PuS4, relaxed
data_Li5PuS4
_chemical_formula_sum 'Li10 Pu2 S8'
_space_group_name_H-M_alt 'I m m m'
_space_group_IT_number 71
_space_group_name_Hall '-I 2 2'
_cell_length_a 3.9610
_cell_length_b 7.0513
_cell_length_c 13.5528
_cell_angle_alpha 90.00
_cell_angle_beta 90.00
_cell_angle_gamma 90.00
loop_
_atom_site_label
_atom_site_type_symbol
_atom_site_fract_x
_atom_site_fract_y
_atom_site_fract_z
Li1 Li 0.0000 0.0000 0.0000
Li2 Li 0.0000 0.2113 0.3208
Pu1 Pu 0.0000 0.5000 0.0000
S1 S 0.0000 0.2647 0.5000
S2 S 0.0000 0.5000 0.2103
# **Formation energy (no corrections)**: -1324 kJ/mol of formula units
# **Calculated volume**: 18.9 Å³/atom
# **Raw total energy**: -5.413 eV per atom

Record 2
# PBE YZrW2, relaxed
data_YZrW2
_chemical_formula_sum 'Y1 Zr1 W2'
_space_group_name_H-M_alt 'P 4/m m m'
_space_group_IT_number 123
_space_group_name_Hall '-P 4 2'
_cell_length_a 3.6599
_cell_length_b 3.6599
_cell_length_c 6.5284
_cell_angle_alpha 90.00
_cell_angle_beta 90.00
_cell_angle_gamma 90.00
loop_
_atom_site_label
_atom_site_type_symbol
_atom_site_fract_x
_atom_site_fract_y
_atom_site_fract_z
Y1 Y 0.0000 0.0000 0.0000
Zr1 Zr 0.0000 0.0000 0.5000
W1 W 0.5000 0.5000 0.3073
# **E_form**: 0.460 eV per atom
# **Calculated volume**: 21.9 Å³/atom
# **Raw total energy**: -9.770 eV per atom

Record 3
# PBE KBa2Hg, relaxed
data_KBa2Hg
_chemical_formula_sum 'K2 Ba4 Hg2'
_space_group_name_H-M_alt 'I m m m'
_space_group_IT_number 71
_space_group_name_Hall '-I 2 2'
_cell_length_a 4.4411
_cell_length_b 7.0242
_cell_length_c 13.5231
_cell_angle_alpha 90.00
_cell_angle_beta 90.00
_cell_angle_gamma 90.00
loop_
_atom_site_label
_atom_site_type_symbol
_atom_site_fract_x
_atom_site_fract_y
_atom_site_fract_z
K1 K 0.0000 0.0000 0.0000
Ba1 Ba 0.0000 0.5000 0.1959
Hg1 Hg 0.0000 0.0000 0.5000
# **E_form**: -0.111 eV per atom
# **Calculated volume**: 52.7 Å³/atom
# **Raw total energy**: -1.423 eV per atom

Record 4
# PBE MnTlHgTe3, relaxed
data_MnTlHgTe3
_chemical_formula_sum 'Mn2 Tl2 Hg2 Te6'
_space_group_name_H-M_alt 'P 1 21/m 1'
_space_group_IT_number 11
_space_group_name_Hall '-P 2yb'
_cell_length_a 8.4195
_cell_length_b 3.8591
_cell_length_c 10.9886
_cell_angle_alpha 90.00
_cell_angle_beta 92.03
_cell_angle_gamma 90.00
loop_
_atom_site_label
_atom_site_type_symbol
_atom_site_fract_x
_atom_site_fract_y
_atom_site_fract_z
Mn1 Mn 0.1426 0.2500 0.1156
Tl1 Tl 0.2162 0.7500 0.6078
Hg1 Hg 0.4802 0.7500 0.3491
Te1 Te 0.0817 0.2500 0.8728
Te2 Te 0.1684 0.2500 0.3542
Te3 Te 0.3531 0.7500 0.0811
# **Formation energy (no corrections)**: -76 kJ/mol of formula units
# **Calculated volume**: 29.7 Å³/atom
# **Raw total energy**: -3.674 eV per atom

Record 5
# PBE SiHg2GeAs, relaxed
data_SiHg2GeAs
_chemical_formula_sum 'Si1 Hg2 Ge1 As1'
_space_group_name_H-M_alt 'P 4/m m m'
_space_group_IT_number 123
_space_group_name_Hall '-P 4 2'
_cell_length_a 5.3137
_cell_length_b 5.3137
_cell_length_c 4.7563
_cell_angle_alpha 90.00
_cell_angle_beta 90.00
_cell_angle_gamma 90.00
loop_
_atom_site_label
_atom_site_type_symbol
_atom_site_fract_x
_atom_site_fract_y
_atom_site_fract_z
Si1 Si 0.0000 0.0000 0.0000
Hg1 Hg 0.0000 0.5000 0.5000
Ge1 Ge 0.5000 0.5000 0.0000
As1 As 0.0000 0.0000 0.5000
# **Formation energy (no corrections)**: 389 kJ/mol of formula units
# **Calculated volume**: 26.9 Å³/atom
# **Raw total energy**: -2.251 eV per atom

Record 6
# PBE Rb2MnRuI6, relaxed
data_Rb2MnRuI6
_chemical_formula_sum 'Rb4 Mn2 Ru2 I12'
_space_group_name_H-M_alt 'I 4/m m m'
_space_group_IT_number 139
_space_group_name_Hall '-I 4 2'
_cell_length_a 8.0182
_cell_length_b 8.0182
_cell_length_c 11.3298
_cell_angle_alpha 90.00
_cell_angle_beta 90.00
_cell_angle_gamma 90.00
loop_
_atom_site_label
_atom_site_type_symbol
_atom_site_fract_x
_atom_site_fract_y
_atom_site_fract_z
Rb1 Rb 0.0000 0.5000 0.2500
Mn1 Mn 0.0000 0.0000 0.0000
Ru1 Ru 0.0000 0.0000 0.5000
I1 I 0.0000 0.0000 0.2561
I2 I 0.2439 0.2439 0.5000
# **Formation energy (no corrections)**: -544 kJ/mol of formula units
# **Calculated volume**: 36.4 Å³/atom
# **Raw total energy**: -3.532 eV per atom

Record 7
# PBE TaAl2Tc, relaxed
data_TaAl2Tc
_chemical_formula_sum 'Ta1 Al2 Tc1'
_space_group_name_H-M_alt 'P 1 2/m 1'
_space_group_IT_number 10
_space_group_name_Hall '-P 2y'
_cell_length_a 2.8173
_cell_length_b 4.2575
_cell_length_c 5.3642
_cell_angle_alpha 90.00
_cell_angle_beta 102.79
_cell_angle_gamma 90.00
loop_
_atom_site_label
_atom_site_type_symbol
_atom_site_fract_x
_atom_site_fract_y
_atom_site_fract_z
Ta1 Ta 0.0000 0.0000 0.0000
Al1 Al 0.3172 0.5000 0.7396
Tc1 Tc 0.5000 0.0000 0.5000
# **E_form**: -0.231 eV per atom
# **Calculated volume**: 15.7 Å³/atom
# **Raw total energy**: -7.657 eV per atom

Record 8
# PBE Ba2ScTl, relaxed
data_Ba2ScTl
_chemical_formula_sum 'Ba2 Sc1 Tl1'
_space_group_name_H-M_alt 'P 1 m 1'
_space_group_IT_number 6
_space_group_name_Hall 'P -2y'
_cell_length_a 4.1920
_cell_length_b 5.2623
_cell_length_c 7.7046
_cell_angle_alpha 90.00
_cell_angle_beta 105.78
_cell_angle_gamma 90.00
loop_
_atom_site_label
_atom_site_type_symbol
_atom_site_fract_x
_atom_site_fract_y
_atom_site_fract_z
Ba1 Ba 0.0000 0.0000 0.0000
Ba2 Ba 0.3127 0.5000 0.6263
Sc1 Sc 0.6098 0.5000 0.2191
Tl1 Tl 0.7064 0.0000 0.4151
# **E_form**: -0.015 eV per atom
# **Calculated volume**: 40.9 Å³/atom
# **Raw total energy**: -3.151 eV per atom

Record 9
# PBE Cs4Pr3DyO8, relaxed
data_Cs4Pr3DyO8
_chemical_formula_sum 'Cs12 Pr9 Dy3 O24'
_space_group_name_H-M_alt 'R -3 m'
_space_group_IT_number 166
_space_group_name_Hall '-R 3 2"'
_cell_length_a 7.3883
_cell_length_b 7.3883
_cell_length_c 20.8462
_cell_angle_alpha 90.00
_cell_angle_beta 90.00
_cell_angle_gamma 120.00
loop_
_atom_site_label
_atom_site_type_symbol
_atom_site_fract_x
_atom_site_fract_y
_atom_site_fract_z
Cs1 Cs 0.0000 0.0000 0.0000
Cs2 Cs 0.0000 0.5000 0.0000
Pr1 Pr 0.0000 0.5000 0.5000
Dy1 Dy 0.0000 0.0000 0.5000
O1 O 0.0000 0.0000 0.2236
O2 O 0.0108 0.5054 0.2229
# **Formation energy (no corrections)**: -3874 kJ/mol of formula units
# **Calculated volume**: 20.5 Å³/atom
# **Raw total energy**: -6.386 eV per atom

Record 10
# PBE CaSb2Pt, relaxed
data_CaSb2Pt
_chemical_formula_sum 'Ca4 Sb8 Pt4'
_space_group_name_H-M_alt 'I -4 2 d'
_space_group_IT_number 122
_space_group_name_Hall 'I -4 2bw'
_cell_length_a 8.2853
_cell_length_b 8.2853
_cell_length_c 5.9957
_cell_angle_alpha 90.00
_cell_angle_beta 90.00
_cell_angle_gamma 90.00
loop_
_atom_site_label
_atom_site_type_symbol
_atom_site_fract_x
_atom_site_fract_y
_atom_site_fract_z
Ca1 Ca 0.0000 0.0000 0.0000
Sb1 Sb 0.1866 0.2500 0.6250
Pt1 Pt 0.0000 0.0000 0.5000
# **Formation energy (no corrections)**: -234 kJ/mol of formula units
# **Calculated volume**: 25.7 Å³/atom
# **Raw total energy**: -4.678 eV per atom